(1)
# Ag2AsRu (PBE, relaxed)
data_Ag2AsRu
_chemical_formula_sum 'Ag4 As2 Ru2'
_space_group_name_H-M_alt 'I m m 2'
_space_group_IT_number 44
_cell_length_a 3.251
_cell_length_b 4.593
_cell_length_c 9.246
_cell_angle_alpha 90.00
_cell_angle_beta 90.00
_cell_angle_gamma 90.00
loop_
_space_group_symop_operation_xyz
'x,y,z'
'-x,-y,z'
'-x,y,z'
'x,-y,z'
'x+1/2,y+1/2,z+1/2'
'-x+1/2,-y+1/2,z+1/2'
'-x+1/2,y+1/2,z+1/2'
'x+1/2,-y+1/2,z+1/2'
loop_
_atom_site_label
_atom_site_type_symbol
_atom_site_fract_x
_atom_site_fract_y
_atom_site_fract_z
Ag1 Ag 0.000 0.000 0.000
Ag2 Ag 0.000 0.500 0.223
As1 As 0.000 0.500 0.764
Ru1 Ru 0.000 0.000 0.452
# Calculated total energy   -4.606 eV per atom
# Energy of formation   1.21 eV per formula unit

---

(2)
# ScZnSn2 (PBE, relaxed)
data_ScZnSn2
_chemical_formula_sum 'Sc4 Zn4 Sn8'
_space_group_name_H-M_alt 'I -4 2 d'
_space_group_IT_number 122
_space_group_name_Hall 'I -4 2bw'
_cell_length_a 7.847
_cell_length_b 7.847
_cell_length_c 6.049
_cell_angle_alpha 90.00
_cell_angle_beta 90.00
_cell_angle_gamma 90.00
loop_
_atom_site_label
_atom_site_type_symbol
_atom_site_fract_x
_atom_site_fract_y
_atom_site_fract_z
Sc1 Sc 0.000 0.000 0.000
Zn1 Zn 0.000 0.000 0.500
Sn1 Sn 0.213 0.250 0.625
# Calculated total energy   -4.029 eV per atom
# Energy of formation   -0.50 eV per formula unit

---

(3)
# KInGe (PBE, relaxed)
data_KInGe
_chemical_formula_sum 'K2 In2 Ge2'
_space_group_name_H-M_alt 'P -1'
_space_group_IT_number 2
_cell_length_a 4.577
_cell_length_b 6.443
_cell_length_c 7.206
_cell_angle_alpha 104.89
_cell_angle_beta 106.37
_cell_angle_gamma 101.42
loop_
_space_group_symop_operation_xyz
'x,y,z'
'-x,-y,-z'
loop_
_atom_site_label
_atom_site_type_symbol
_atom_site_fract_x
_atom_site_fract_y
_atom_site_fract_z
K1 K 0.225 0.214 0.382
In1 In 0.492 0.780 0.046
Ge1 Ge 0.007 0.619 0.190
# Calculated total energy   -2.905 eV per atom
# Energy of formation   -0.26 eV per formula unit

---

(4)
# SrAc2PdO6 (PBE, relaxed)
data_SrAc2PdO6
_chemical_formula_sum 'Sr2 Ac4 Pd2 O12'
_space_group_name_H-M_alt 'P 1 21/c 1'
_space_group_IT_number 14
_cell_length_a 5.909
_cell_length_b 6.212
_cell_length_c 10.303
_cell_angle_alpha 90.00
_cell_angle_beta 124.34
_cell_angle_gamma 90.00
loop_
_space_group_symop_operation_xyz
'x,y,z'
'-x,-y,-z'
'-x,y+1/2,-z+1/2'
'x,-y+1/2,z+1/2'
loop_
_atom_site_label
_atom_site_type_symbol
_atom_site_fract_x
_atom_site_fract_y
_atom_site_fract_z
Sr1 Sr 0.000 0.000 0.000
Ac1 Ac 0.264 0.056 0.747
Pd1 Pd 0.500 0.000 0.500
O1 O 0.163 0.051 0.275
O2 O 0.269 0.681 0.051
O3 O 0.393 0.225 0.068
# Calculated total energy   -6.853 eV per atom
# Formation energy from raw total energies   -228.5 kJ per mole of atoms

---

(5)
# ZrTc2Sb (PBE, relaxed)
data_ZrTc2Sb
_chemical_formula_sum 'Zr4 Tc8 Sb4'
_space_group_name_H-M_alt 'I -4 2 d'
_space_group_IT_number 122
_space_group_name_Hall 'I -4 2bw'
_cell_length_a 7.252
_cell_length_b 7.252
_cell_length_c 5.961
_cell_angle_alpha 90.00
_cell_angle_beta 90.00
_cell_angle_gamma 90.00
loop_
_atom_site_label
_atom_site_type_symbol
_atom_site_fract_x
_atom_site_fract_y
_atom_site_fract_z
Zr1 Zr 0.000 0.000 0.000
Tc1 Tc 0.239 0.250 0.625
Sb1 Sb 0.000 0.000 0.500
# Calculated total energy   -7.740 eV per atom
# Formation energy from raw total energies   59.0 kJ per mole of atoms

---

(6)
# Sr2CuTe (PBE, relaxed)
data_Sr2CuTe
_chemical_formula_sum 'Sr4 Cu2 Te2'
_space_group_name_H-M_alt 'I m m 2'
_space_group_IT_number 44
_cell_length_a 4.274
_cell_length_b 4.309
_cell_length_c 15.425
_cell_angle_alpha 90.00
_cell_angle_beta 90.00
_cell_angle_gamma 90.00
loop_
_space_group_symop_operation_xyz
'x,y,z'
'-x,-y,z'
'-x,y,z'
'x,-y,z'
'x+1/2,y+1/2,z+1/2'
'-x+1/2,-y+1/2,z+1/2'
'-x+1/2,y+1/2,z+1/2'
'x+1/2,-y+1/2,z+1/2'
loop_
_atom_site_label
_atom_site_type_symbol
_atom_site_fract_x
_atom_site_fract_y
_atom_site_fract_z
Sr1 Sr 0.000 0.000 0.000
Sr2 Sr 0.000 0.500 0.260
Cu1 Cu 0.000 0.000 0.419
Te1 Te 0.000 0.500 0.669
# Calculated total energy   -3.298 eV per atom
# Formation energy from raw total energies   -62.5 kJ per mole of atoms